Entry 1:
{"formula": "Rb3NdEr3Te8", "functional": "PBE", "state": "optimized geometry", "cell": [[4.4204, 2.5521, 8.7929], [-4.4204, 2.5521, 8.7929], [0.0000, -5.1043, 8.7929]], "species": ["Rb", "Rb", "Rb", "Nd", "Er", "Er", "Er", "Te", "Te", "Te", "Te", "Te", "Te", "Te", "Te"], "frac_coords": [[0.0000, 0.5000, 0.5000], [0.5000, 0.0000, 0.5000], [0.5000, 0.5000, 0.0000], [0.5000, 0.5000, 0.5000], [0.0000, 0.0000, 0.5000], [0.0000, 0.5000, 0.0000], [0.5000, 0.0000, 0.0000], [0.2216, 0.7400, 0.7400], [0.2326, 0.2326, 0.2326], [0.2600, 0.2600, 0.7784], [0.2600, 0.7784, 0.2600], [0.7400, 0.2216, 0.7400], [0.7400, 0.7400, 0.2216], [0.7674, 0.7674, 0.7674], [0.7784, 0.2600, 0.2600]], "dos_ef_per_ev_cell": 7.29, "crystal_system": "trigonal", "total_energy_ev_per_atom": -4.4067, "formation_energy_uncorrected_ev_per_atom": -1.3072}


Entry 2:
{"formula": "Dy5Th2Sc12", "functional": "PBE", "state": "optimized geometry", "cell": [[7.4871, -4.3845, 0.0000], [7.4871, 4.3845, 0.0000], [-0.2826, 0.0000, 8.0447]], "species": ["Dy", "Dy", "Dy", "Dy", "Dy", "Th", "Th", "Sc", "Sc", "Sc", "Sc", "Sc", "Sc", "Sc", "Sc", "Sc", "Sc", "Sc", "Sc"], "frac_coords": [[0.0000, 0.0000, 0.0000], [0.2371, 0.2371, 0.0786], [0.3017, 0.3017, 0.4959], [0.6983, 0.6983, 0.5041], [0.7629, 0.7629, 0.9214], [0.3089, 0.6911, 0.5000], [0.6911, 0.3089, 0.5000], [0.0238, 0.6671, 0.2494], [0.0914, 0.0914, 0.3877], [0.1841, 0.5660, 0.8482], [0.3329, 0.9762, 0.7506], [0.4340, 0.8159, 0.1518], [0.4463, 0.4463, 0.1726], [0.5537, 0.5537, 0.8274], [0.5660, 0.1841, 0.8482], [0.6671, 0.0238, 0.2494], [0.8159, 0.4340, 0.1518], [0.9086, 0.9086, 0.6123], [0.9762, 0.3329, 0.7506]], "dos_ef_per_ev_cell": 31.60, "delta_e_f_kj_per_mol_fu": 291, "crystal_system": "monoclinic", "total_energy_ev_per_atom": -5.8323}


Repeat the first record exactly.
{"formula": "Rb3NdEr3Te8", "functional": "PBE", "state": "optimized geometry", "cell": [[4.4204, 2.5521, 8.7929], [-4.4204, 2.5521, 8.7929], [0.0000, -5.1043, 8.7929]], "species": ["Rb", "Rb", "Rb", "Nd", "Er", "Er", "Er", "Te", "Te", "Te", "Te", "Te", "Te", "Te", "Te"], "frac_coords": [[0.0000, 0.5000, 0.5000], [0.5000, 0.0000, 0.5000], [0.5000, 0.5000, 0.0000], [0.5000, 0.5000, 0.5000], [0.0000, 0.0000, 0.5000], [0.0000, 0.5000, 0.0000], [0.5000, 0.0000, 0.0000], [0.2216, 0.7400, 0.7400], [0.2326, 0.2326, 0.2326], [0.2600, 0.2600, 0.7784], [0.2600, 0.7784, 0.2600], [0.7400, 0.2216, 0.7400], [0.7400, 0.7400, 0.2216], [0.7674, 0.7674, 0.7674], [0.7784, 0.2600, 0.2600]], "dos_ef_per_ev_cell": 7.29, "crystal_system": "trigonal", "total_energy_ev_per_atom": -4.4067, "formation_energy_uncorrected_ev_per_atom": -1.3072}